Record 1
Entry from Alexandria via LeMat-Bulk: a PBEsol-optimized structure of Y3BC (SCAN).

Lattice parameters (Å, degrees): 4.694 4.694 4.694 90.00 90.00 90.00
Sites, in units of the cell vectors:
1 C 0.000 0.000 0.000
2 B 0.500 0.500 0.500
3 Y 0.000 0.000 0.500
4 Y 0.000 0.500 0.000
5 Y 0.500 0.000 0.000

Calculated values
Space group: No. 221
E_form, meV/atom: 46
V, Å³/atom: 20.69
Density of states at the Fermi level, states/eV/f.u.: 1.0

Record 2
Entry from Alexandria via LeMat-Bulk: a PBEsol-optimized structure of ZnBC3 (SCAN).

Lattice parameters (Å, degrees): 3.855 3.855 3.855 90.00 90.00 90.00
Sites, in units of the cell vectors:
1 Zn 0.000 0.000 0.000
2 C 0.500 0.000 0.000
3 C 0.000 0.000 0.500
4 C 0.000 0.500 0.000
5 B 0.500 0.500 0.500

Calculated values
Space group: No. 221
E_form, meV/atom: 3831
V, Å³/atom: 11.46
Density of states at the Fermi level, states/eV/f.u.: 3.1

Record 3
Entry from Alexandria via LeMat-Bulk: a PBEsol-optimized structure of ZrBC3 (SCAN).

Lattice parameters (Å, degrees): 3.494 3.494 3.494 90.00 90.00 90.00
Sites, in units of the cell vectors:
1 B 0.000 0.000 0.000
2 Zr 0.500 0.500 0.500
3 C 0.000 0.500 0.000
4 C 0.500 0.000 0.000
5 C 0.000 0.000 0.500

Calculated values
Space group: No. 221
E_form, meV/atom: 1384
V, Å³/atom: 8.53
Energy above the most stable polymorph in this dataset, meV/atom: 0
Density of states at the Fermi level, states/eV/f.u.: 1.9

Record 4
Entry from Alexandria via LeMat-Bulk: a PBEsol-optimized structure of ZrBC3 (SCAN).

Lattice parameters (Å, degrees): 4.278 4.278 4.278 90.00 90.00 90.00
Sites, in units of the cell vectors:
1 B 0.500 0.500 0.500
2 C 0.500 0.000 0.000
3 C 0.000 0.000 0.500
4 Zr 0.000 0.000 0.000
5 C 0.000 0.500 0.000

Calculated values
Space group: No. 221
E_form, meV/atom: 3157
V, Å³/atom: 15.66
Energy above the most stable polymorph in this dataset, meV/atom: 1773
Density of states at the Fermi level, states/eV/f.u.: 2.6

Record 5
Entry from Alexandria via LeMat-Bulk: a PBEsol-optimized structure of Ca2CdBTe (SCAN).

Lattice parameters (Å, degrees): 4.313 5.282 5.282 90.00 90.00 90.00
Sites, in units of the cell vectors:
1 Ca 0.000 0.000 0.500
2 B 0.000 0.000 0.000
3 Ca 0.000 0.500 0.000
4 Te 0.500 0.500 0.500
5 Cd 0.500 0.000 0.000

Calculated values
Space group: No. 123
V, Å³/atom: 24.07
E_tot, eV per atom: -19.357
Density of states at the Fermi level, states/eV/f.u.: 2.1

Record 6
Entry from Alexandria via LeMat-Bulk: a PBEsol-optimized structure of Ca2BCl (SCAN).

Lattice parameters (Å, degrees): 4.854 4.854 4.854 60.00 60.00 60.00
Last column: magnetic moment on the atom in μB.
Sites, in units of the cell vectors:
1 B 0.000 0.000 0.000  0.56
2 Ca 0.750 0.750 0.750  0.09
3 Cl 0.500 0.500 0.500  0.11
4 Ca 0.250 0.250 0.250  0.09

Calculated values
Space group: No. 225
V, Å³/atom: 20.22
E_tot, eV per atom: -9.021
Density of states at the Fermi level, states/eV/f.u.: 2.2

Record 7
Entry from Alexandria via LeMat-Bulk: a PBEsol-optimized structure of CaBMo2Cl (SCAN).

Lattice parameters (Å, degrees): 4.080 4.080 5.685 90.00 90.00 90.00
Last column: magnetic moment on the atom in μB.
Sites, in units of the cell vectors:
1 Ca 0.000 0.000 0.500  0.06
2 Mo 0.000 0.500 0.000  0.99
3 Mo 0.500 0.000 0.000  0.99
4 B 0.000 0.000 0.000  -0.03
5 Cl 0.500 0.500 0.500  0.12

Calculated values
Space group: No. 123
V, Å³/atom: 18.93
E_tot, eV per atom: -18.527
Density of states at the Fermi level, states/eV/f.u.: 3.5

Record 8
Entry from Alexandria via LeMat-Bulk: a PBEsol-optimized structure of Ca2B5ClO9 (SCAN).

Lattice parameters (Å, degrees): 6.296 11.129 11.276 90.00 90.00 90.00
Sites, in units of the cell vectors:
1 B 0.457 0.184 0.228
2 B 0.317 0.266 0.800
3 O 0.353 0.603 0.213
4 Cl 0.971 0.000 0.000
5 O 0.756 0.096 0.712
6 O 0.087 0.759 0.192
7 O 0.903 0.302 0.200
8 O 0.490 0.946 0.749
9 B 0.192 0.480 0.776
10 Cl 0.214 0.000 0.500
11 B 0.360 0.236 0.020
12 O 0.853 0.103 0.287
13 O 0.514 0.790 0.897
14 Ca 0.319 0.743 0.529
15 B 0.817 0.766 0.700
16 B 0.860 0.264 0.520
17 Ca 0.645 0.472 0.242
18 B 0.692 0.020 0.276
19 Ca 0.819 0.243 0.971
20 B 0.817 0.234 0.300
21 O 0.403 0.198 0.700
22 B 0.132 0.295 0.184
23 B 0.957 0.684 0.272
24 O 0.514 0.210 0.103
25 O 0.661 0.227 0.553
26 B 0.632 0.205 0.684
27 Ca 0.145 0.028 0.742
28 O 0.428 0.776 0.093
29 Ca 0.319 0.257 0.471
30 O 0.161 0.727 0.947
31 O 0.661 0.773 0.447
32 O 0.233 0.199 0.252
33 O 0.903 0.698 0.800
34 O 0.256 0.404 0.212
35 O 0.733 0.699 0.248
36 Cl 0.714 0.500 0.000
37 O 0.014 0.290 0.603
38 O 0.587 0.259 0.308
39 O 0.403 0.802 0.300
40 B 0.457 0.816 0.772
41 B 0.132 0.705 0.816
42 O 0.990 0.554 0.249
43 B 0.860 0.736 0.480
44 B 0.360 0.764 0.980
45 O 0.733 0.301 0.752
46 B 0.317 0.734 0.200
47 O 0.256 0.596 0.788
48 B 0.957 0.316 0.728
49 Ca 0.645 0.528 0.758
50 O 0.587 0.741 0.692
51 O 0.990 0.446 0.751
52 Ca 0.819 0.757 0.029
53 O 0.490 0.054 0.251
54 O 0.928 0.276 0.407
55 O 0.853 0.897 0.713
56 O 0.428 0.224 0.907
57 O 0.233 0.801 0.748
58 B 0.192 0.520 0.224
59 O 0.014 0.710 0.397
60 O 0.756 0.904 0.288
61 Ca 0.145 0.972 0.258
62 O 0.353 0.397 0.787
63 O 0.161 0.273 0.053
64 O 0.087 0.241 0.808
65 O 0.928 0.724 0.593
66 B 0.632 0.795 0.316
67 B 0.692 0.980 0.724
68 Cl 0.471 0.500 0.500

Calculated values
Space group: No. 34
V, Å³/atom: 11.62
E_tot, eV per atom: -9.961
Density of states at the Fermi level, states/eV/f.u.: 0.0

Copy entry 8 word for word.
Entry from Alexandria via LeMat-Bulk: a PBEsol-optimized structure of Ca2B5ClO9 (SCAN).

Lattice parameters (Å, degrees): 6.296 11.129 11.276 90.00 90.00 90.00
Sites, in units of the cell vectors:
1 B 0.457 0.184 0.228
2 B 0.317 0.266 0.800
3 O 0.353 0.603 0.213
4 Cl 0.971 0.000 0.000
5 O 0.756 0.096 0.712
6 O 0.087 0.759 0.192
7 O 0.903 0.302 0.200
8 O 0.490 0.946 0.749
9 B 0.192 0.480 0.776
10 Cl 0.214 0.000 0.500
11 B 0.360 0.236 0.020
12 O 0.853 0.103 0.287
13 O 0.514 0.790 0.897
14 Ca 0.319 0.743 0.529
15 B 0.817 0.766 0.700
16 B 0.860 0.264 0.520
17 Ca 0.645 0.472 0.242
18 B 0.692 0.020 0.276
19 Ca 0.819 0.243 0.971
20 B 0.817 0.234 0.300
21 O 0.403 0.198 0.700
22 B 0.132 0.295 0.184
23 B 0.957 0.684 0.272
24 O 0.514 0.210 0.103
25 O 0.661 0.227 0.553
26 B 0.632 0.205 0.684
27 Ca 0.145 0.028 0.742
28 O 0.428 0.776 0.093
29 Ca 0.319 0.257 0.471
30 O 0.161 0.727 0.947
31 O 0.661 0.773 0.447
32 O 0.233 0.199 0.252
33 O 0.903 0.698 0.800
34 O 0.256 0.404 0.212
35 O 0.733 0.699 0.248
36 Cl 0.714 0.500 0.000
37 O 0.014 0.290 0.603
38 O 0.587 0.259 0.308
39 O 0.403 0.802 0.300
40 B 0.457 0.816 0.772
41 B 0.132 0.705 0.816
42 O 0.990 0.554 0.249
43 B 0.860 0.736 0.480
44 B 0.360 0.764 0.980
45 O 0.733 0.301 0.752
46 B 0.317 0.734 0.200
47 O 0.256 0.596 0.788
48 B 0.957 0.316 0.728
49 Ca 0.645 0.528 0.758
50 O 0.587 0.741 0.692
51 O 0.990 0.446 0.751
52 Ca 0.819 0.757 0.029
53 O 0.490 0.054 0.251
54 O 0.928 0.276 0.407
55 O 0.853 0.897 0.713
56 O 0.428 0.224 0.907
57 O 0.233 0.801 0.748
58 B 0.192 0.520 0.224
59 O 0.014 0.710 0.397
60 O 0.756 0.904 0.288
61 Ca 0.145 0.972 0.258
62 O 0.353 0.397 0.787
63 O 0.161 0.273 0.053
64 O 0.087 0.241 0.808
65 O 0.928 0.724 0.593
66 B 0.632 0.795 0.316
67 B 0.692 0.980 0.724
68 Cl 0.471 0.500 0.500

Calculated values
Space group: No. 34
V, Å³/atom: 11.62
E_tot, eV per atom: -9.961
Density of states at the Fermi level, states/eV/f.u.: 0.0

Q: The highest V belongs to which entry?
A: Ca2CdBTe

Please write out number 3 again, unchanged.
Entry from Alexandria via LeMat-Bulk: a PBEsol-optimized structure of ZrBC3 (SCAN).

Lattice parameters (Å, degrees): 3.494 3.494 3.494 90.00 90.00 90.00
Sites, in units of the cell vectors:
1 B 0.000 0.000 0.000
2 Zr 0.500 0.500 0.500
3 C 0.000 0.500 0.000
4 C 0.500 0.000 0.000
5 C 0.000 0.000 0.500

Calculated values
Space group: No. 221
E_form, meV/atom: 1384
V, Å³/atom: 8.53
Energy above the most stable polymorph in this dataset, meV/atom: 0
Density of states at the Fermi level, states/eV/f.u.: 1.9